# CoTe6Os

CoTe6Os after structural relaxation (PBE, Alexandria via LeMat-Bulk).

## Properties
The value obtained for the magnetic moment is 0.0 μB per formula unit. As for the formation energy (no corrections): -0.037 eV/atom. Its calculated volume is 197.4 Å³/f.u. Its density is 8.54 g/cm³. The total energy comes out at -37.48 eV per formula unit. Its symmetry is No. 2.

Unit cell a=6.507 b=6.569 c=6.625 alpha=58.87 beta=59.36 gamma=59.94
Atoms (fractional coordinates):
Co 0.000 0.000 0.000
Te 0.050 0.438 0.741
Te 0.735 0.060 0.777
Te 0.576 0.230 0.263
Te 0.265 0.940 0.223
Te 0.950 0.562 0.259
Te 0.424 0.770 0.737
Os 0.500 0.500 0.500

***

# CoTe2Os

CoTe2Os after structural relaxation (PBE, Alexandria via LeMat-Bulk).

## Properties
The value obtained for the magnetic moment is 1.1 μB per formula unit. As for the formation energy (no corrections): 0.681 eV/atom. Its calculated volume is 71.5 Å³/f.u. Its density is 11.71 g/cm³. The energy relative to the lowest polymorph listed for this composition is 564 meV per atom. The total energy comes out at -21.90 eV per formula unit. Its symmetry is No. 123.

Unit cell a=3.237 b=3.241 c=7.548 alpha=64.55 beta=90.00 gamma=90.00
Each line ends with the local moment (μB).
Atoms (fractional coordinates):
Co 0.500 0.250 0.250  1.03
Os 0.500 0.750 0.750  0.12
Te 0.000 0.992 0.006  0.00
Te 0.000 0.508 0.494  0.00

***

# Th8Co3Te4Os

Th8Co3Te4Os after structural relaxation (PBE, Alexandria via LeMat-Bulk).

## Properties
The value obtained for the magnetic moment is 0.0 μB per formula unit. As for the formation energy (no corrections): -0.775 eV/atom. Its calculated volume is 449.4 Å³/f.u. Its density is 10.10 g/cm³. The total energy comes out at -116.87 eV per formula unit. Its symmetry is No. 166.

Unit cell a=8.223 b=9.024 c=8.225 alpha=117.12 beta=119.99 gamma=90.00
Atoms (fractional coordinates):
Th 0.234 0.697 0.963
Th 0.234 0.697 0.469
Th 0.269 0.307 0.538
Th 0.729 0.697 0.963
Th 0.271 0.303 0.037
Th 0.731 0.693 0.462
Th 0.766 0.303 0.531
Th 0.766 0.303 0.037
Co 0.500 0.500 0.000
Co 0.500 0.500 0.500
Co 0.000 0.500 0.500
Te 0.500 0.000 0.000
Te 0.500 0.000 0.500
Te 0.000 0.000 0.000
Te 0.000 0.000 0.500
Os 0.000 0.500 0.000

***

# Th3CoTeOs

Th3CoTeOs after structural relaxation (PBE, Alexandria via LeMat-Bulk).

## Properties
The value obtained for the magnetic moment is 0.0 μB per formula unit. As for the formation energy (no corrections): -0.516 eV/atom. Its calculated volume is 160.7 Å³/f.u. Its density is 11.09 g/cm³. The total energy comes out at -46.83 eV per formula unit. Its symmetry is No. 11.

Unit cell a=4.218 b=8.438 c=10.026 alpha=115.76 beta=90.00 gamma=90.00
Atoms (fractional coordinates):
Th 0.250 0.754 0.470
Th 0.750 0.932 0.133
Th 0.750 0.488 0.145
Th 0.750 0.246 0.530
Th 0.250 0.512 0.855
Th 0.250 0.068 0.867
Co 0.250 0.095 0.615
Co 0.750 0.905 0.385
Te 0.750 0.711 0.715
Te 0.250 0.289 0.285
Os 0.250 0.732 0.167
Os 0.750 0.268 0.833

***

# Th8CoTe4Os3

Th8CoTe4Os3 after structural relaxation (PBE, Alexandria via LeMat-Bulk).

## Properties
The value obtained for the magnetic moment is 0.0 μB per formula unit. As for the formation energy (no corrections): -0.819 eV/atom. Its calculated volume is 463.1 Å³/f.u. Its density is 10.74 g/cm³. The total energy comes out at -125.83 eV per formula unit. Its symmetry is No. 166.

Unit cell a=8.343 b=9.068 c=8.343 alpha=117.39 beta=120.00 gamma=90.00
Atoms (fractional coordinates):
Th 0.231 0.697 0.967
Th 0.231 0.697 0.462
Th 0.267 0.300 0.533
Th 0.736 0.697 0.967
Th 0.264 0.303 0.033
Th 0.733 0.700 0.467
Th 0.769 0.303 0.538
Th 0.769 0.303 0.033
Co 0.000 0.500 0.000
Te 0.500 0.000 0.000
Te 0.500 0.000 0.500
Te 0.000 0.000 0.000
Te 0.000 0.000 0.500
Os 0.500 0.500 0.000
Os 0.500 0.500 0.500
Os 0.000 0.500 0.500

***

# Th6CoTe3Os2

Th6CoTe3Os2 after structural relaxation (PBE, Alexandria via LeMat-Bulk).

## Properties
The value obtained for the magnetic moment is 0.0 μB per formula unit. As for the formation energy (no corrections): -0.813 eV/atom. Its calculated volume is 345.4 Å³/f.u. Its density is 10.65 g/cm³. The total energy comes out at -93.26 eV per formula unit. Its symmetry is No. 12.

Unit cell a=7.201 b=7.201 c=8.058 alpha=98.58 beta=98.58 gamma=119.98
Atoms (fractional coordinates):
Th 0.934 0.605 0.803
Th 0.737 0.737 0.198
Th 0.066 0.395 0.197
Th 0.605 0.934 0.803
Th 0.263 0.263 0.802
Th 0.395 0.066 0.197
Co 0.000 0.000 0.000
Te 0.168 0.832 0.500
Te 0.832 0.168 0.500
Te 0.500 0.500 0.500
Os 0.333 0.667 0.000
Os 0.667 0.333 0.000

***

# Th4CoTe2Os

Th4CoTe2Os after structural relaxation (PBE, Alexandria via LeMat-Bulk).

## Properties
The value obtained for the magnetic moment is 0.0 μB per formula unit. As for the formation energy (no corrections): -0.796 eV/atom. Its calculated volume is 228.3 Å³/f.u. Its density is 10.42 g/cm³. The total energy comes out at -60.67 eV per formula unit. Its symmetry is No. 10.

Unit cell a=4.149 b=7.161 c=8.049 alpha=107.34 beta=90.00 gamma=90.00
Atoms (fractional coordinates):
Th 0.500 0.237 0.198
Th 0.500 0.763 0.802
Th 0.000 0.272 0.805
Th 0.000 0.728 0.195
Co 0.500 0.500 0.000
Te 0.500 0.000 0.500
Te 0.000 0.500 0.500
Os 0.000 0.000 0.000

***

# YCoTeOs2

YCoTeOs2 after structural relaxation (PBE, Alexandria via LeMat-Bulk).

## Properties
The value obtained for the magnetic moment is 2.5 μB per formula unit. As for the formation energy (no corrections): 2.337 eV/atom. Its calculated volume is 114.2 Å³/f.u. Its density is 9.54 g/cm³. The total energy comes out at -27.49 eV per formula unit. Its symmetry is No. 123.

Unit cell a=4.974 b=4.974 c=4.616 alpha=90.00 beta=90.00 gamma=90.00
Each line ends with the local moment (μB).
Atoms (fractional coordinates):
Y 0.000 0.000 0.000  -0.09
Co 0.000 0.000 0.500  1.43
Te 0.500 0.500 0.500  0.03
Os 0.000 0.500 0.000  0.55
Os 0.500 0.000 0.000  0.55

***

# Th4Co2Os

Th4Co2Os after structural relaxation (PBE, Alexandria via LeMat-Bulk).

## Properties
The value obtained for the magnetic moment is 0.0 μB per formula unit. The formation energy comes out at -0.221 eV per atom. Its calculated volume is 175.4 Å³/f.u. Its density is 11.70 g/cm³. The energy relative to the lowest polymorph listed for this composition is 51 meV per atom. The total energy comes out at -56.67 eV per formula unit. Its symmetry is No. 141.

Unit cell a=7.696 b=7.696 c=7.696 alpha=110.02 beta=110.00 gamma=108.40
Atoms (fractional coordinates):
Th 0.923 0.231 0.307
Th 0.327 0.519 0.192
Th 0.923 0.616 0.693
Th 0.769 0.077 0.692
Th 0.384 0.077 0.308
Th 0.327 0.134 0.808
Th 0.481 0.673 0.808
Th 0.866 0.673 0.192
Co 0.625 0.375 0.750
Co 0.625 0.875 0.250
Co 0.625 0.375 0.250
Co 0.125 0.375 0.750
Os 0.250 0.750 0.500
Os 0.000 0.000 0.000

***

# Th2CoOs

Th2CoOs after structural relaxation (PBE, Alexandria via LeMat-Bulk).

## Properties
The value obtained for the magnetic moment is 0.0 μB per formula unit. The formation energy comes out at -0.120 eV per atom. Its calculated volume is 87.3 Å³/f.u. Its density is 13.57 g/cm³. The total energy comes out at -33.65 eV per formula unit. Its symmetry is No. 123.

Unit cell a=3.441 b=5.036 c=5.036 alpha=90.00 beta=90.00 gamma=90.00
Atoms (fractional coordinates):
Co 0.500 0.000 0.000
Os 0.500 0.500 0.500
Th 0.000 0.000 0.500
Th 0.000 0.500 0.000

***

# ThCo2Os

ThCo2Os after structural relaxation (PBE, Alexandria via LeMat-Bulk).

## Properties
The value obtained for the magnetic moment is 1.8 μB per formula unit. The formation energy comes out at -0.128 eV per atom. Its calculated volume is 71.6 Å³/f.u. Its density is 12.53 g/cm³. The energy relative to the lowest polymorph listed for this composition is 6 meV per atom. The total energy comes out at -33.37 eV per formula unit. Its symmetry is No. 166.

Unit cell a=4.204 b=4.204 c=5.270 alpha=66.49 beta=66.49 gamma=60.00
Each line ends with the local moment (μB).
Atoms (fractional coordinates):
Co 0.307 0.307 0.080  0.72
Co 0.693 0.693 0.920  0.72
Os 0.000 0.000 0.000  0.50
Th 0.500 0.500 0.500  -0.12

***

Number 4 is which compound?
Th3CoTeOs